A plane-wave DFT calculation with GGA-PBE was carried out for a relaxed Ac2DySn4Pt3 crystal.

Cell lengths 4.5852, 4.5852, 12.1813 Å; angles 90.00, 90.00, 90.00 degrees
Positions (direct):
1 Ac 0.5000 0.0000 0.2344
2 Ac 0.0000 0.5000 0.7656
3 Dy 0.5000 0.5000 0.5000
4 Sn 0.5000 0.5000 0.0000
5 Sn 0.0000 0.0000 0.0000
6 Sn 0.5000 0.0000 0.6559
7 Sn 0.0000 0.5000 0.3441
8 Pt 0.0000 0.0000 0.5000
9 Pt 0.5000 0.0000 0.8769
10 Pt 0.0000 0.5000 0.1231

Output
space group = P-4m2 (115)
DFT formation energy = -0.8623 eV per atom

---

A plane-wave DFT calculation with GGA-PBE was carried out for a relaxed Ag3W crystal.

Cell lengths 5.0526, 5.0526, 2.7464 Å; angles 90.00, 90.00, 90.00 degrees
Positions (direct):
1 Ag 0.0000 0.0000 0.0000
2 Ag 0.5000 0.0000 0.5000
3 Ag 0.5000 0.5000 0.0000
4 W 0.0000 0.5000 0.5000

Output
energy above the most stable polymorph in this dataset = 270 meV per atom
space group = P4/mmm (123)
DFT formation energy = 0.6595 eV per atom

---

A plane-wave DFT calculation with GGA-PBE was carried out for a relaxed KAcPt2O8 crystal.

Cell lengths 5.5782, 5.5782, 6.1290 Å; angles 90.00, 90.00, 120.00 degrees
Positions (direct):
1 K 0.0000 0.0000 0.0000
2 Ac 0.0000 0.0000 0.5000
3 Pt 0.6667 0.3333 0.0516
4 Pt 0.3333 0.6667 0.9484
5 O 0.9457 0.5946 0.8278
6 O 0.4054 0.3511 0.8278
7 O 0.6489 0.0543 0.8278
8 O 0.0543 0.4054 0.1722
9 O 0.5946 0.6489 0.1722
10 O 0.3511 0.9457 0.1722
11 O 0.6667 0.3333 0.3763
12 O 0.3333 0.6667 0.6237

Output
uncorrected formation energy = -0.4869 eV per atom
space group = P-3 (147)

---

For reference, M_tot by record: 0.0 0.0 0.0 μB per cell.